No. 1
Compound: Ba2TiNbPb
Source: Alexandria
Functional: GGA-PBE
Structure: optimized geometry

Its polymorph energy (0 for the lowest one) is 11.0 kJ/mol of atoms.

The structure belongs to space group P4/mmm (No. 123); the cell edges are 6.597, 6.597 and 5.444 Å and the angles 90.00°, 90.00° and 90.00°. The inequivalent atoms are Ba at (0.000, 0.500, 0.000), Ti at (0.000, 0.000, 0.500), Nb at (0.500, 0.500, 0.500) and Pb at (0.500, 0.500, 0.000).

***

No. 2
Compound: Tm4TlBi
Source: Alexandria
Functional: GGA-PBE
Structure: optimized geometry

The structure belongs to space group C2/c (No. 15); the cell edges are 8.570, 13.085 and 6.576 Å and the angles 90.00°, 107.90° and 90.00°. The inequivalent atoms are Tm at (0.092, 0.194, 0.057), Tm at (0.198, 0.400, 0.408), Tl at (0.000, 0.008, 0.750) and Bi at (0.000, 0.390, 0.750).

***

no.,total magnetization (μB per formula unit),energy relative to the elements (eV/atom),electronic total energy (eV per cell)
1,3.52,1.26,-19.24
2,0.00,-0.31,-103.97